1.
DFT (PBE) results for PmDy2Cu2Ge2 after structural relaxation.

Summary:
The formation energy comes out at -3.47 eV per formula unit. The value obtained for the density is 8.14 Mg/m³. The calculation puts the spin magnetization at 0.00 μB/f.u. Its calculated total energy is -4.978 eV/atom.

a = 4.3026 Å, b = 4.3026 Å, c = 9.7668 Å
α = 77.28°, β = 77.28°, γ = 60.00°
Fractional positions:
Pm  0.0000  0.0000  0.0000
Dy  0.1266  0.1266  0.6202
Dy  0.8734  0.8734  0.3798
Cu  0.5977  0.5977  0.2069
Cu  0.4023  0.4023  0.7931
Ge  0.7379  0.7379  0.7863
Ge  0.2621  0.2621  0.2137

2.
DFT (PBE) results for Cr2Cd after structural relaxation.

Summary:
The formation energy comes out at 2.74 eV per formula unit. The value obtained for the density is 7.61 Mg/m³. The calculation puts the spin magnetization at 0.00 μB/f.u. Its calculated total energy is -5.807 eV/atom.

a = 7.9079 Å, b = 7.9079 Å, c = 7.9079 Å
α = 154.06°, β = 154.06°, γ = 37.01°
Fractional positions:
Cr  0.3341  0.8341  0.5000
Cr  0.1659  0.6659  0.5000
Cr  0.5841  0.5841  0.0000
Cr  0.4159  0.4159  0.0000
Cd  0.0000  0.0000  0.0000
Cd  0.7500  0.2500  0.5000